Record 1
! MgBeVIr, relaxed, DFT PBE; values from VASP
! - Symmetry: F-43m (216)
! - D(E_F): 0.03 states/eV per atom
! - E_form: -282 meV/atom
&SYSTEM
  ibrav = 0, nat = 4, ntyp = 4
/
ATOMIC_SPECIES
Mg 24.30 Mg.upf
Be 9.01 Be.upf
V 50.94 V.upf
Ir 192.22 Ir.upf
CELL_PARAMETERS angstrom
0.0000 2.9710 2.9710
2.9710 0.0000 2.9710
2.9710 2.9710 0.0000
ATOMIC_POSITIONS crystal
Mg 0.0000 0.0000 0.0000
Be 0.2500 0.2500 0.2500
V 0.7500 0.7500 0.7500
Ir 0.5000 0.5000 0.5000

=====

Record 2
! Y2MgBeIr2, relaxed, DFT PBE; values from VASP
! - Symmetry: Ibam (72)
! - D(E_F): 0.53 states/eV per atom
! - E_form: -603 meV/atom
&SYSTEM
  ibrav = 0, nat = 12, ntyp = 4
/
ATOMIC_SPECIES
Y 88.91 Y.upf
Mg 24.30 Mg.upf
Be 9.01 Be.upf
Ir 192.22 Ir.upf
CELL_PARAMETERS angstrom
-3.8086 5.4983 2.8884
3.8086 -5.4983 2.8884
3.8086 5.4983 -2.8884
ATOMIC_POSITIONS crystal
Y 0.1867 0.1557 0.3424
Y 0.3133 0.6557 0.9690
Y 0.6867 0.3443 0.0310
Y 0.8133 0.8443 0.6576
Mg 0.2500 0.7500 0.5000
Mg 0.7500 0.2500 0.5000
Be 0.2500 0.2500 0.0000
Be 0.7500 0.7500 0.0000
Ir 0.0786 0.7932 0.8718
Ir 0.4214 0.2932 0.7145
Ir 0.5786 0.7068 0.2855
Ir 0.9214 0.2068 0.1282

=====

Record 3
! MgBeZnIr, relaxed, DFT PBE; values from VASP
! - Symmetry: F-43m (216)
! - D(E_F): 0.51 states/eV per atom
! - E_form: -224 meV/atom
&SYSTEM
  ibrav = 0, nat = 4, ntyp = 4
/
ATOMIC_SPECIES
Mg 24.30 Mg.upf
Be 9.01 Be.upf
Zn 65.41 Zn.upf
Ir 192.22 Ir.upf
CELL_PARAMETERS angstrom
0.0000 2.9996 2.9996
2.9996 0.0000 2.9996
2.9996 2.9996 0.0000
ATOMIC_POSITIONS crystal
Mg 0.0000 0.0000 0.0000
Be 0.2500 0.2500 0.2500
Zn 0.7500 0.7500 0.7500
Ir 0.5000 0.5000 0.5000

=====

Record 4
! MgZrBeIr2, relaxed, DFT PBE; values from VASP
! - Symmetry: P4/mmm (123)
! - D(E_F): 0.49 states/eV per atom
! - E_form: -240 meV/atom
&SYSTEM
  ibrav = 0, nat = 5, ntyp = 4
/
ATOMIC_SPECIES
Mg 24.30 Mg.upf
Zr 91.22 Zr.upf
Be 9.01 Be.upf
Ir 192.22 Ir.upf
CELL_PARAMETERS angstrom
4.2724 0.0000 0.0000
0.0000 4.2724 0.0000
0.0000 0.0000 4.2626
ATOMIC_POSITIONS crystal
Mg 0.0000 0.0000 0.0000
Zr 0.5000 0.5000 0.0000
Be 0.0000 0.0000 0.5000
Ir 0.0000 0.5000 0.5000
Ir 0.5000 0.0000 0.5000

=====

Question: Look up the E_form of the fourth one.
Answer: -240 meV/atom

=====

Question: Which of these has the highest D(E_F)?
Answer: Y2MgBeIr2

=====

Repeat the third record exactly.
! MgBeZnIr, relaxed, DFT PBE; values from VASP
! - Symmetry: F-43m (216)
! - D(E_F): 0.51 states/eV per atom
! - E_form: -224 meV/atom
&SYSTEM
  ibrav = 0, nat = 4, ntyp = 4
/
ATOMIC_SPECIES
Mg 24.30 Mg.upf
Be 9.01 Be.upf
Zn 65.41 Zn.upf
Ir 192.22 Ir.upf
CELL_PARAMETERS angstrom
0.0000 2.9996 2.9996
2.9996 0.0000 2.9996
2.9996 2.9996 0.0000
ATOMIC_POSITIONS crystal
Mg 0.0000 0.0000 0.0000
Be 0.2500 0.2500 0.2500
Zn 0.7500 0.7500 0.7500
Ir 0.5000 0.5000 0.5000